The following is a PBE+U calculation of a geometry-optimized CaMn2F structure, from the Alexandria database.

Results
raw total energy = -4.93 eV/atom
M_tot = 39.8 μB per cell
space-group type = I4_1/amd
energy above the lowest structure with this stoichiometry = 0 meV per atom

abc: 5.7183 5.7183 13.8398
angles: 90.00 90.00 90.00
Last column: nearest neighbours and their distance in Å.
Atoms (fractional coordinates):
Ca: 0.0000 0.2500 0.3750  8 Mn 3.63, 4 F 4.04
Ca: 0.0000 0.7500 0.6250  8 Mn 3.63, 4 F 4.04
Ca: 0.5000 0.2500 0.1250  8 Mn 3.63, 4 F 4.04
Ca: 0.5000 0.7500 0.8750  8 Mn 3.63, 4 F 4.04
Mn: 0.0000 0.0000 0.0000  2 F 2.24
Mn: 0.0000 0.5000 0.0000  2 F 2.24
Mn: 0.2500 0.2500 0.7500  2 F 2.24
Mn: 0.2500 0.7500 0.2500  2 F 2.24
Mn: 0.5000 0.0000 0.5000  2 F 2.24
Mn: 0.5000 0.5000 0.5000  2 F 2.24
Mn: 0.7500 0.2500 0.7500  2 F 2.24
Mn: 0.7500 0.7500 0.2500  2 F 2.24
F: 0.0000 0.2500 0.8750  4 Mn 2.24
F: 0.0000 0.7500 0.1250  4 Mn 2.24
F: 0.5000 0.2500 0.6250  4 Mn 2.24
F: 0.5000 0.7500 0.3750  4 Mn 2.24